# Cd3CoSi

Cd3CoSi at its PBEsol-relaxed geometry (meta-GGA SCAN, the Alexandria database).

Unit cell a=4.9409 b=4.9409 c=4.9409 alpha=90.00 beta=90.00 gamma=90.00
Atoms (fractional coordinates):
Cd (0.0000, 0.0000, 0.5000)
Cd (0.0000, 0.5000, 0.0000)
Cd (0.5000, 0.0000, 0.0000)
Co (0.5000, 0.5000, 0.5000)
Si (0.0000, 0.0000, 0.0000)

Values from the calculation:
ρ   5841 kg/m3
Space-group type   Pm-3m, No. 221
Magnetic moment   2.06 μB per formula unit
E   -114.0 eV/cell
Volume   24.12 Å³/atom

# Cd2CoSi

Cd2CoSi at its PBEsol-relaxed geometry (meta-GGA SCAN, the Alexandria database).

Unit cell a=4.8400 b=4.8400 c=4.8400 alpha=131.67 beta=131.67 gamma=70.75
Atoms (fractional coordinates):
Cd (0.0000, 0.0000, 0.0000)
Cd (0.7500, 0.2500, 0.5000)
Co (0.5000, 0.5000, 0.0000)
Si (0.2500, 0.7500, 0.5000)

Values from the calculation:
ρ   8356 kg/m3
Space-group type   I-4m2, No. 119
Magnetic moment   0.00 μB per formula unit
E   -86.2 eV/cell
Volume   15.49 Å³/atom

# Cd2CoSi

Cd2CoSi at its PBEsol-relaxed geometry (meta-GGA SCAN, the Alexandria database).

Unit cell a=7.0851 b=7.0851 c=7.0851 alpha=158.14 beta=149.74 gamma=37.64
Atoms (fractional coordinates):
Cd (0.1770, 0.1770, 0.0000)
Cd (0.8230, 0.8230, 0.0000)
Co (0.0000, 0.5000, 0.5000)
Si (0.5000, 0.0000, 0.5000)

Values from the calculation:
ρ   7769 kg/m3
Space-group type   Immm, No. 71
Magnetic moment   0.00 μB per formula unit
E   -88.2 eV/cell
Volume   16.66 Å³/atom

# CdCoSi2

CdCoSi2 at its PBEsol-relaxed geometry (meta-GGA SCAN, the Alexandria database).

Unit cell a=2.7534 b=2.7534 c=7.6226 alpha=90.00 beta=90.00 gamma=90.00
Atoms (fractional coordinates):
Cd (0.0000, 0.0000, 0.0000)
Co (0.0000, 0.0000, 0.5000)
Si (0.5000, 0.5000, 0.3157)
Si (0.5000, 0.5000, 0.6843)

Values from the calculation:
ρ   6538 kg/m3
Space-group type   P4/mmm, No. 123
Magnetic moment   0.00 μB per formula unit
E   -67.1 eV/cell
Volume   14.45 Å³/atom